No. 1
This record from Alexandria via LeMat-Bulk describes a relaxed structure of Tb2NdGa4. The functional is GGA-PBE.

a = 4.1738 Å, b = 4.3366 Å, c = 9.6669 Å
α = 102.96°, β = 102.47°, γ = 90.00°
Element x y z (fractional)
Ga 0.0674 0.5674 0.1349
Ga 0.3529 0.3529 0.7057
Tb 0.1845 0.1845 0.3690
Ga 0.6471 0.6471 0.2943
Tb 0.8155 0.8155 0.6310
Nd 0.5000 0.0000 0.0000
Ga 0.9326 0.4326 0.8651

Values from the calculation:
- Magnetization: 0.00 μB/cell
- Symmetry: Immm
- Total energy: -4.388 eV per atom
- ΔE_f: -4.579 eV per formula unit
- Volume: 23.754 A^3/atom

=====

No. 2
This record from Alexandria via LeMat-Bulk describes a relaxed structure of TbNdGa. The functional is GGA-PBE.

a = 3.7812 Å, b = 5.0220 Å, c = 5.0220 Å
α = 120.00°, β = 90.00°, γ = 90.00°
Element x y z (fractional)
Tb 0.0813 0.0000 0.0000
Ga 0.2917 0.3333 0.6667
Nd 0.6270 0.6667 0.3333

Values from the calculation:
- Magnetization: 0.00 μB/cell
- Energy above the most stable polymorph in this dataset: 2.99 kcal/mol of atoms
- Symmetry: P3m1
- Total energy: -4.415 eV per atom
- ΔE_f: -0.820 eV per formula unit
- Volume: 27.529 A^3/atom

=====

No. 3
This record from Alexandria via LeMat-Bulk describes a relaxed structure of TbNd3Ga4. The functional is GGA-PBE.

a = 3.7515 Å, b = 6.8661 Å, c = 9.3452 Å
α = 111.54°, β = 101.58°, γ = 90.00°
Element x y z (fractional)
Nd 0.7979 0.7980 0.5958
Ga 0.6279 0.8205 0.2557
Nd 0.2021 0.2020 0.4042
Nd 0.0000 0.5000 0.0000
Ga 0.3720 0.5647 0.7441
Ga 0.6280 0.4353 0.2559
Tb 0.5000 0.0000 0.0000
Ga 0.3721 0.1795 0.7443

Values from the calculation:
- Magnetization: 0.00 μB/cell
- Energy above the most stable polymorph in this dataset: 3.08 kcal/mol of atoms
- Symmetry: Immm
- Total energy: -4.313 eV per atom
- ΔE_f: -3.467 eV per formula unit
- Volume: 27.330 A^3/atom